[1]
Computed, not measured: an optimized crystal structure of Er2Ga5Ni4 at the PBE level of DFT.

## Properties
- mass density (Mg/m³) = 8.55
- N(E_F) (states/eV/atom) = 0.362
- size of the total moment (μB/cell) = 0.00
- DFT formation energy (meV per atom) = -528

```
data_Er2Ga5Ni4
_chemical_formula_sum 'Er8 Ga20 Ni16'
_space_group_name_H-M_alt 'F m m m'
_space_group_IT_number 69
_space_group_name_Hall '-F 2 2'
_cell_length_a 5.227
_cell_length_b 8.868
_cell_length_c 15.377
_cell_angle_alpha 90.00
_cell_angle_beta 90.00
_cell_angle_gamma 90.00
loop_
_atom_site_label
_atom_site_fract_x
_atom_site_fract_y
_atom_site_fract_z
_atom_site_occupancy
Er1 0.000 0.000 0.131 1
Ga1 0.000 0.000 0.500 1
Ga2 0.250 0.250 0.000 1
Ga3 0.250 0.250 0.250 1
Ni1 0.000 0.157 0.370 1
```



[2]
Computed, not measured: an optimized crystal structure of ErGaNi4 at the PBE level of DFT.

## Properties
- mass density (Mg/m³) = 9.24
- N(E_F) (states/eV/atom) = 0.351
- size of the total moment (μB/cell) = 0.00
- DFT formation energy (meV per atom) = -344

```
data_ErGaNi4
_chemical_formula_sum 'Er4 Ga4 Ni16'
_space_group_name_H-M_alt 'C m c m'
_space_group_IT_number 63
_space_group_name_Hall '-C 2c 2'
_cell_length_a 3.798
_cell_length_b 15.218
_cell_length_c 5.870
_cell_angle_alpha 90.00
_cell_angle_beta 90.00
_cell_angle_gamma 90.00
loop_
_atom_site_label
_atom_site_fract_x
_atom_site_fract_y
_atom_site_fract_z
_atom_site_occupancy
Er1 0.000 0.099 0.250 1
Ga1 0.000 0.233 0.750 1
Ni1 0.000 0.077 0.750 1
Ni2 0.000 0.336 0.050 1
Ni3 0.000 0.500 0.000 1
```



[3]
Computed, not measured: an optimized crystal structure of Er11Ga9Ni4 at the PBE level of DFT.

## Properties
- mass density (Mg/m³) = 9.08
- N(E_F) (states/eV/atom) = 0.616
- size of the total moment (μB/cell) = 0.00
- DFT formation energy (meV per atom) = -603

```
data_Er11Ga9Ni4
_chemical_formula_sum 'Er22 Ga18 Ni8'
_space_group_name_H-M_alt 'C m m m'
_space_group_IT_number 65
_space_group_name_Hall '-C 2 2'
_cell_length_a 13.658
_cell_length_b 20.531
_cell_length_c 3.523
_cell_angle_alpha 90.00
_cell_angle_beta 90.00
_cell_angle_gamma 90.00
loop_
_atom_site_label
_atom_site_fract_x
_atom_site_fract_y
_atom_site_fract_z
_atom_site_occupancy
Er1 0.000 0.000 0.000 1
Er2 0.000 0.165 0.000 1
Er3 0.000 0.374 0.000 1
Er4 0.191 0.500 0.000 1
Er5 0.242 0.170 0.000 1
Ga1 0.000 0.500 0.500 1
Ga2 0.103 0.267 0.500 1
Ga3 0.148 0.070 0.500 1
Ni1 0.155 0.398 0.500 1
```